A geometry-optimized FeSiN2O structure. Source: the Alexandria database, functional PBE with a Hubbard U.

Output
The total energy is -6.567 eV per atom. The density of states at the Fermi level comes out at 0.62 states/eV per atom.

Geometry as POSCAR:
```
FeSiN2O
1.0
-0.156 -2.573 -2.530
3.299 0.923 -1.142
1.422 -2.298 2.250
N Fe Si O
2 1 1 1
direct
0.500 0.000 0.000
0.000 0.500 0.000
0.500 0.500 0.500
0.000 0.000 0.000
0.000 0.000 0.500
```